# ReTe2IBr (PBE-GGA, relaxed)
# Density, g/cm³: 5.87
# ΔE_f (raw), eV/atom: 1.7787
# D(E_F), states/eV/atom: 1.077
# Magnetization, μB per cell: 4.889
# Distance to the lowest polymorph of the same formula, meV/atom: 1266.0
data_ReTe2IBr
_chemical_formula_sum 'Re1 Te2 I1 Br1'
_cell_length_a 5.653
_cell_length_b 5.653
_cell_length_c 5.734
_cell_angle_alpha 90.00
_cell_angle_beta 90.00
_cell_angle_gamma 90.00
_symmetry_space_group_name_H-M 'P 4/m m m'
_symmetry_Int_Tables_number 123
_symmetry_space_group_name_Hall '-P 4 2'
loop_
_atom_site_label
_atom_site_type_symbol
_atom_site_fract_x
_atom_site_fract_y
_atom_site_fract_z
Re1 Re 0.000 0.000 0.000
Te1 Te 0.000 0.500 0.500
I1 I 0.500 0.500 0.000
Br1 Br 0.500 0.500 0.500